Entry from Alexandria: a geometry-optimized U6PtSe12 structure (GGA-PBE).

a = 8.1443 Å, b = 8.1443 Å, c = 8.1443 Å
α = 100.67°, β = 100.67°, γ = 100.67°
With the nearest neighbours (Å) after each atom.
Fractional coordinates of all 19 atoms:
U: 0.1275 0.6309 0.8015  7 Se 2.85-3.00
U: 0.1985 0.8725 0.3691  7 Se 2.85-3.00
U: 0.3691 0.1985 0.8725  7 Se 2.85-3.00
U: 0.6309 0.8015 0.1275  7 Se 2.85-3.00
U: 0.8015 0.1275 0.6309  7 Se 2.85-3.00
U: 0.8725 0.3691 0.1985  7 Se 2.85-3.00
Pt: 0.5000 0.5000 0.5000  6 Se 2.59
Se: 0.0692 0.9243 0.6760  4 U 2.85-2.98
Se: 0.0757 0.3240 0.9308  4 U 2.85-2.98
Se: 0.1879 0.5383 0.4469  1 Pt 2.59, 1 U 2.88
Se: 0.3240 0.9308 0.0757  4 U 2.85-2.98
Se: 0.4469 0.1879 0.5383  1 Pt 2.59, 1 U 2.88
Se: 0.4617 0.5531 0.8121  1 Pt 2.59, 1 U 2.88
Se: 0.5383 0.4469 0.1879  1 Pt 2.59, 1 U 2.88
Se: 0.5531 0.8121 0.4617  1 Pt 2.59, 1 U 2.88
Se: 0.6760 0.0692 0.9243  4 U 2.85-2.98
Se: 0.8121 0.4617 0.5531  1 Pt 2.59, 1 U 2.88
Se: 0.9243 0.6760 0.0692  4 U 2.85-2.98
Se: 0.9308 0.0757 0.3240  4 U 2.85-2.98

Values from the calculation:
For the calculated total energy, the calculation gives -134.18 eV/cell. For the density of states at the Fermi level, the calculation gives 2.2424 states/eV per atom.